No. 1
An optimized crystal structure of Sc2Sn2Pb. Source: Alexandria via LeMat-Bulk, functional PBE.

Unit cell a=7.038 b=7.038 c=7.038 alpha=140.02 beta=140.02 gamma=57.82
Element x y z (fractional)
Sc: 0.250 0.750 0.500
Sc: 0.750 0.250 0.500
Sn: 0.116 0.116 0.000
Sn: 0.884 0.884 0.000
Pb: 0.500 0.500 0.000

Calculated values
relative energy among the computed polymorphs	0.230	eV/atom
ΔH_f (0 K)	-145	meV per atom

No. 2
An optimized crystal structure of Sc2SnPb. Source: Alexandria via LeMat-Bulk, functional PBE.

Unit cell a=10.965 b=10.965 c=10.965 alpha=17.65 beta=17.65 gamma=17.65
Element x y z (fractional)
Sc: 0.092 0.092 0.092
Sc: 0.908 0.908 0.908
Sn: 0.500 0.500 0.500
Pb: 0.000 0.000 0.000

Calculated values
relative energy among the computed polymorphs	0.332	eV/atom
ΔH_f (0 K)	-97	meV per atom

No. 3
An optimized crystal structure of Sc6Sn2Te3Pb. Source: Alexandria via LeMat-Bulk, functional PBE.

Unit cell a=9.391 b=9.391 c=8.401 alpha=103.93 beta=103.93 gamma=25.66
Element x y z (fractional)
Sc: 0.003 0.003 0.248
Sc: 0.331 0.331 0.423
Sc: 0.334 0.334 0.909
Sc: 0.666 0.666 0.091
Sc: 0.669 0.669 0.577
Sc: 0.997 0.997 0.752
Sn: 0.167 0.167 0.333
Sn: 0.833 0.833 0.667
Te: 0.166 0.166 0.833
Te: 0.500 0.500 0.500
Te: 0.834 0.834 0.167
Pb: 0.500 0.500 0.000

Calculated values
raw formation energy	-9.940	eV/f.u.

No. 4
An optimized crystal structure of ScSn2TePb. Source: Alexandria via LeMat-Bulk, functional PBE.

Unit cell a=5.578 b=5.578 c=5.454 alpha=90.00 beta=90.00 gamma=90.00
Element x y z (fractional)
Sc: 0.000 0.000 0.000
Sn: 0.000 0.500 0.000
Sn: 0.500 0.000 0.000
Te: 0.000 0.000 0.500
Pb: 0.500 0.500 0.500

Calculated values
raw formation energy	0.410	eV/f.u.

No. 5
An optimized crystal structure of ScTlSnPb2. Source: Alexandria via LeMat-Bulk, functional PBE.

Unit cell a=5.767 b=5.767 c=5.583 alpha=90.00 beta=90.00 gamma=90.00
Element x y z (fractional)
Sc: 0.000 0.000 0.000
Tl: 0.500 0.500 0.500
Sn: 0.500 0.500 0.000
Pb: 0.000 0.500 0.500
Pb: 0.500 0.000 0.500

Calculated values
ΔH_f (0 K)	740	meV per atom

No. 6
An optimized crystal structure of SrSc2Pb. Source: Alexandria via LeMat-Bulk, functional PBE.

Unit cell a=11.652 b=11.652 c=11.652 alpha=156.81 beta=156.81 gamma=33.03
Element x y z (fractional)
Sr: 0.000 0.000 0.000
Sr: 0.750 0.250 0.500
Sc: 0.160 0.125 0.535
Sc: 0.375 0.840 0.965
Sc: 0.590 0.625 0.465
Sc: 0.875 0.410 0.035
Pb: 0.250 0.750 0.500
Pb: 0.500 0.500 0.000

Calculated values
ΔH_f (0 K)	197	meV per atom

No. 7
An optimized crystal structure of SrSc2Pb. Source: Alexandria via LeMat-Bulk, functional PBE.

Unit cell a=4.849 b=4.849 c=4.784 alpha=90.00 beta=90.00 gamma=90.00
Element x y z (fractional)
Sr: 0.000 0.000 0.000
Sc: 0.000 0.500 0.500
Sc: 0.500 0.000 0.500
Pb: 0.500 0.500 0.000

Calculated values
ΔH_f (0 K)	-74	meV per atom

No. 8
An optimized crystal structure of SrSc2Pb. Source: Alexandria via LeMat-Bulk, functional PBE.

Unit cell a=3.561 b=3.561 c=9.546 alpha=90.00 beta=90.00 gamma=90.00
Element x y z (fractional)
Sr: 0.000 0.000 0.000
Sc: 0.500 0.500 0.302
Sc: 0.500 0.500 0.698
Pb: 0.000 0.000 0.500

Calculated values
ΔH_f (0 K)	12	meV per atom

No. 9
An optimized crystal structure of SrSc2Pb2. Source: Alexandria via LeMat-Bulk, functional PBE.

Unit cell a=8.940 b=8.940 c=3.560 alpha=90.00 beta=90.00 gamma=90.00
Element x y z (fractional)
Sr: 0.000 0.000 0.000
Sr: 0.500 0.500 0.000
Sc: 0.132 0.368 0.500
Sc: 0.368 0.868 0.500
Sc: 0.632 0.132 0.500
Sc: 0.868 0.632 0.500
Pb: 0.162 0.662 0.000
Pb: 0.338 0.162 0.000
Pb: 0.662 0.838 0.000
Pb: 0.838 0.338 0.000

Calculated values
relative energy among the computed polymorphs	0.031	eV/atom
ΔH_f (0 K)	-330	meV per atom

No. 10
An optimized crystal structure of SrSc2Pb2. Source: Alexandria via LeMat-Bulk, functional PBE.

Unit cell a=8.955 b=8.955 c=3.458 alpha=90.00 beta=90.00 gamma=90.00
Element x y z (fractional)
Sr: 0.000 0.000 0.000
Sr: 0.500 0.500 0.000
Sc: 0.120 0.380 0.000
Sc: 0.380 0.880 0.000
Sc: 0.620 0.120 0.000
Sc: 0.880 0.620 0.000
Pb: 0.174 0.674 0.500
Pb: 0.326 0.174 0.500
Pb: 0.674 0.826 0.500
Pb: 0.826 0.326 0.500

Calculated values
relative energy among the computed polymorphs	0.047	eV/atom
ΔH_f (0 K)	-314	meV per atom

No. 11
An optimized crystal structure of Sr4ScPb. Source: Alexandria via LeMat-Bulk, functional PBE.

Unit cell a=7.115 b=7.115 c=7.115 alpha=60.00 beta=60.00 gamma=60.00
Element x y z (fractional)
Sr: 0.125 0.125 0.125
Sr: 0.125 0.125 0.624
Sr: 0.125 0.624 0.125
Sr: 0.624 0.125 0.125
Sc: 0.500 0.500 0.500
Pb: 0.750 0.750 0.750

Calculated values
ΔH_f (0 K)	430	meV per atom

No. 12
An optimized crystal structure of SrSc2Pb2. Source: Alexandria via LeMat-Bulk, functional PBE.

Unit cell a=7.477 b=7.477 c=7.477 alpha=142.34 beta=142.34 gamma=54.32
Element x y z (fractional)
Sr: 0.000 0.000 0.000
Sc: 0.250 0.750 0.500
Sc: 0.750 0.250 0.500
Pb: 0.381 0.381 0.000
Pb: 0.619 0.619 0.000

Calculated values
relative energy among the computed polymorphs	0.000	eV/atom
ΔH_f (0 K)	-361	meV per atom

No. 13
An optimized crystal structure of SrScPb3. Source: Alexandria via LeMat-Bulk, functional PBE.

Unit cell a=5.618 b=5.618 c=5.618 alpha=90.00 beta=90.00 gamma=90.00
Element x y z (fractional)
Sr: 0.000 0.000 0.000
Sc: 0.500 0.500 0.500
Pb: 0.000 0.500 0.500
Pb: 0.500 0.000 0.500
Pb: 0.500 0.500 0.000

Calculated values
relative energy among the computed polymorphs	0.000	eV/atom
ΔH_f (0 K)	-150	meV per atom

No. 14
An optimized crystal structure of SrSc2Pb. Source: Alexandria via LeMat-Bulk, functional PBE.

Unit cell a=6.178 b=6.178 c=6.178 alpha=135.95 beta=135.95 gamma=64.06
Element x y z (fractional)
Sr: 0.000 0.000 0.000
Sc: 0.500 0.500 0.000
Sc: 0.750 0.250 0.500
Pb: 0.250 0.750 0.500

Calculated values
ΔH_f (0 K)	-51	meV per atom

No. 15
An optimized crystal structure of SrSc2Pb. Source: Alexandria via LeMat-Bulk, functional PBE.

Unit cell a=11.535 b=11.535 c=11.535 alpha=17.69 beta=17.69 gamma=17.69
Element x y z (fractional)
Sr: 0.000 0.000 0.000
Sc: 0.098 0.098 0.098
Sc: 0.902 0.902 0.902
Pb: 0.500 0.500 0.500

Calculated values
ΔH_f (0 K)	220	meV per atom

No. 16
An optimized crystal structure of SrSc3Pb. Source: Alexandria via LeMat-Bulk, functional PBE.

Unit cell a=5.284 b=5.284 c=5.284 alpha=90.00 beta=90.00 gamma=90.00
Element x y z (fractional)
Sr: 0.000 0.000 0.000
Sc: 0.000 0.000 0.500
Sc: 0.000 0.500 0.000
Sc: 0.500 0.000 0.000
Pb: 0.500 0.500 0.500

Calculated values
relative energy among the computed polymorphs	0.856	eV/atom
ΔH_f (0 K)	1176	meV per atom

No. 17
An optimized crystal structure of SrSc3Pb. Source: Alexandria via LeMat-Bulk, functional PBE.

Unit cell a=5.598 b=5.598 c=5.598 alpha=90.00 beta=90.00 gamma=90.00
Element x y z (fractional)
Sr: 0.000 0.000 0.000
Sc: 0.000 0.500 0.500
Sc: 0.500 0.000 0.500
Sc: 0.500 0.500 0.000
Pb: 0.500 0.500 0.500

Calculated values
relative energy among the computed polymorphs	0.000	eV/atom
ΔH_f (0 K)	321	meV per atom

No. 18
An optimized crystal structure of SrSc2Pb. Source: Alexandria via LeMat-Bulk, functional PBE.

Unit cell a=5.442 b=5.442 c=5.442 alpha=60.00 beta=60.00 gamma=60.00
Element x y z (fractional)
Sr: 0.000 0.000 0.000
Sc: 0.250 0.250 0.250
Sc: 0.500 0.500 0.500
Pb: 0.750 0.750 0.750

Calculated values
ΔH_f (0 K)	35	meV per atom

No. 19
An optimized crystal structure of SrSc2Pb. Source: Alexandria via LeMat-Bulk, functional PBE.

Unit cell a=11.210 b=11.210 c=11.210 alpha=18.21 beta=18.21 gamma=18.21
Element x y z (fractional)
Sr: 0.000 0.000 0.000
Sc: 0.240 0.240 0.240
Sc: 0.760 0.760 0.760
Pb: 0.500 0.500 0.500

Calculated values
ΔH_f (0 K)	108	meV per atom

No. 20
An optimized crystal structure of SrSc2Pb. Source: Alexandria via LeMat-Bulk, functional PBE.

Unit cell a=6.609 b=6.609 c=3.389 alpha=103.80 beta=103.80 gamma=118.03
Element x y z (fractional)
Sr: 0.000 0.000 0.000
Sc: 0.000 0.500 0.500
Sc: 0.500 0.000 0.500
Pb: 0.500 0.500 0.000

Calculated values
ΔH_f (0 K)	17	meV per atom

Values for electronic total energy, eV/atom, ordered as above
-5.020; -5.190; -5.756; -4.155; -3.283; -4.316; -4.587; -4.501; -4.682; -4.666; -2.364; -4.713; -3.977; -4.564; -4.293; -3.701; -4.556; -4.478; -4.405; -4.496